No. 1
First-principles (GGA-PBE) data for a relaxed SrTe3F crystal, as listed in Alexandria.

a b c (Å): 5.1128 5.1128 5.1128
angles (deg): 90.00 90.00 90.00
Fractional coordinates of all 5 atoms:
Sr 0.0000 0.0000 0.0000
Te 0.0000 0.5000 0.5000
Te 0.5000 0.0000 0.5000
Te 0.5000 0.5000 0.0000
F 0.5000 0.5000 0.5000

For the uncorrected formation energy, the calculation gives -781 meV/atom. For the total energy, the calculation gives -3.377 eV per atom.

---

No. 2
First-principles (GGA-PBE) data for a relaxed SrTeF3 crystal, as listed in Alexandria.

a b c (Å): 4.7962 4.7962 4.7962
angles (deg): 90.00 90.00 90.00
Fractional coordinates of all 5 atoms:
Sr 0.0000 0.0000 0.0000
Te 0.5000 0.5000 0.5000
F 0.0000 0.0000 0.5000
F 0.0000 0.5000 0.0000
F 0.5000 0.0000 0.0000

For the uncorrected formation energy, the calculation gives -2249 meV/atom. For the total energy, the calculation gives -4.337 eV per atom.

---

No. 3
First-principles (GGA-PBE) data for a relaxed SrTeF6 crystal, as listed in Alexandria.

a b c (Å): 5.0754 5.0754 5.6829
angles (deg): 105.03 105.03 83.06
Fractional coordinates of all 8 atoms:
Sr 0.0000 0.0000 0.0000
Te 0.5000 0.5000 0.5000
F 0.2087 0.6240 0.2062
F 0.2162 0.2162 0.4558
F 0.3760 0.7913 0.7938
F 0.6240 0.2087 0.2062
F 0.7838 0.7838 0.5442
F 0.7913 0.3760 0.7938

For the uncorrected formation energy, the calculation gives -2757 meV/atom. For the total energy, the calculation gives -4.763 eV per atom.